Record 1
28
Lattice="-2.0408 -7.1316 0.6612 5.9629 -2.3078 -6.4863 2.5752 0.0730 8.7360" Properties=species:S:1:pos:R:3 comment="Ga2Te3O9 (PBEsol, optimized geometry)" total_energy_ev_per_cell=-166.35 vol_a3_per_atom=19.1 mass_density_g_cm3=4.136 total_magnetization_mub_per_cell=0.00 pbc="T T T"
Ga 3.5784 -1.1608 3.7027
Ga 3.6873 -5.5202 -1.0408
Ga 2.9188 -8.2055 -0.7918
Ga 2.8100 -3.8461 3.9517
Te 6.5364 -3.9610 -1.5771
Te 3.5419 -2.8733 0.9110
Te 2.8921 -3.0569 -3.0746
Te -0.0391 -5.4054 4.4880
Te 2.9554 -6.4930 1.9999
Te 3.6052 -6.3094 5.9855
O 1.7853 -2.1313 3.4927
O 4.1475 -2.8773 2.7377
O 3.6499 -2.5018 5.2513
O 4.7120 -7.2351 -0.5818
O 2.3498 -6.4891 0.1733
O 2.8474 -6.8645 -2.3403
O 5.8591 -2.4264 -2.4902
O 5.0809 -1.9487 0.2599
O 3.1526 -1.5948 -1.8739
O 1.3863 -4.3257 5.1587
O 2.1645 -4.8034 2.4087
O 4.0928 -5.1574 4.5424
O 0.6382 -6.9399 5.4011
O 1.4164 -7.4176 2.6511
O 3.3447 -7.7716 4.7848
O 5.1110 -5.0406 -2.2478
O 4.3328 -4.5629 0.5022
O 2.4045 -4.2090 -1.6315

***

Record 2
4
Lattice="2.7754 0.0005 -0.0020 1.3882 2.4033 -0.0020 1.3817 0.7977 8.6234" Properties=species:S:1:pos:R:3 comment="AlOsPt2 (PBEsol, optimized geometry)" vol_a3_per_atom=14.4 mass_density_g_cm3=17.534 total_magnetization_mub_per_cell=0.00 delta_e_f_mev_per_atom=-247 pbc="T T T"
Os 1.3870 0.8008 2.2491
Al 2.7732 1.6011 4.3086
Pt 4.1612 2.4025 0.0611
Pt 4.1600 2.4018 6.3063

***

Record 3
5
Lattice="5.9066 0.0000 0.0000 0.0000 5.8956 0.0000 0.0000 0.0000 5.8956" Properties=species:S:1:pos:R:3 comment="LaSb2TeMo (PBEsol, optimized geometry)" vol_a3_per_atom=41.1 mass_density_g_cm3=4.901 relative_energy_mev_per_atom=1371 total_magnetization_mub_per_cell=4.01 pbc="T T T"
Sb 0.0000 0.0000 2.9478
Sb 0.0000 2.9478 0.0000
Mo 2.9533 2.9478 2.9478
Te 2.9533 0.0000 0.0000
La 0.0000 0.0000 0.0000

***

Record 4
72
Lattice="8.1132 0.0000 0.0000 0.0000 9.6831 0.0071 0.0000 -1.5455 13.3096" Properties=species:S:1:pos:R:3 comment="K3HS3O11 (PBEsol, optimized geometry)" total_energy_ev_per_cell=-430.56 vol_a3_per_atom=14.5 mass_density_g_cm3=2.480 total_magnetization_mub_per_cell=0.01 pbc="T T T"
K 5.1915 1.5371 11.0370
K 1.1349 1.7590 2.2761
K 2.9218 6.6006 2.2797
K 6.9784 6.3786 11.0405
K 0.9523 0.1853 10.8337
K 5.0089 3.1108 2.4794
K 7.1609 7.9524 2.4830
K 3.1043 5.0269 10.8372
K 3.4134 1.7216 7.4606
K 7.4700 1.5746 5.8525
K 4.6998 6.4161 5.8560
K 0.6432 6.5631 7.4642
H 3.4184 -0.5463 13.2556
H 7.4750 3.8424 0.0575
H 4.6949 8.6840 0.0610
H 0.6382 4.2953 13.2592
S 2.0493 7.3973 13.1920
S 6.1059 5.5820 0.1282
S 6.0639 0.7404 0.1246
S 2.0073 2.5557 13.1885
S 6.2519 -0.8474 8.0184
S 2.1953 4.1435 5.2947
S 1.8613 8.9851 5.2982
S 5.9179 3.9941 8.0220
S 3.8021 8.0623 9.4673
S 7.8587 4.9169 3.8528
S 4.3111 0.0754 3.8493
S 0.2545 3.2207 9.4638
O 2.3909 -0.7537 13.1539
O 6.4475 4.0498 0.1592
O 5.7223 8.8914 0.1627
O 1.6657 4.0879 13.1575
O 3.3378 6.6662 13.2917
O 7.3944 6.3130 0.0284
O 4.7754 1.4715 0.0249
O 0.7188 1.8246 13.2882
O 1.3714 7.1165 11.9313
O 5.4280 5.8627 1.3889
O 6.7418 1.0212 1.3854
O 2.6852 2.2750 11.9278
O 1.2267 8.7159 1.0623
O 5.2833 4.2634 12.2579
O 6.8865 -0.5782 12.2544
O 2.8299 3.8743 1.0587
O 7.0952 8.3384 9.1046
O 3.0386 4.6409 4.2155
O 1.0180 -0.2007 4.2120
O 5.0746 3.4968 9.1011
O 6.6501 8.3904 6.7006
O 2.5935 4.5889 6.6196
O 1.4631 -0.2527 6.6161
O 5.5197 3.5488 6.6970
O 5.9332 0.5682 8.1215
O 1.8766 2.7280 5.1917
O 2.1800 7.5695 5.1952
O 6.2366 5.4097 8.1250
O 4.7895 8.0476 8.1330
O 0.7329 4.9316 5.1872
O 3.3237 0.0901 5.1836
O 7.3803 3.2061 8.1295
O 3.4617 -0.2177 9.6713
O 7.5183 3.5138 3.6419
O 4.6515 8.3554 3.6454
O 0.5949 4.6238 9.6748
O 2.7141 7.2351 8.9829
O 6.7707 5.7442 4.3373
O 5.3991 0.9026 4.3338
O 1.3425 2.3935 8.9793
O 4.5670 7.4624 10.5441
O 0.5104 5.5168 2.7761
O 3.5462 0.6753 2.7725
O 7.6028 2.6209 10.5406